1.
## CsBe3B (PBE-GGA)

Data for a relaxed structure of CsBe3B.

## Properties
Its density of states at the Fermi level is 0.61 states/eV per cell. The distance to the lowest polymorph of the same formula comes out at 0.000 eV/atom. As for the symmetry: Pm-3m, No. 221.

Geometry as extended XYZ:
```
5
Lattice="4.150 0.000 0.000 0.000 4.150 0.000 0.000 0.000 4.150" Properties=species:S:1:pos:R:3 pbc="T T T"
Cs 2.075 2.075 2.075
Be 0.000 2.075 0.000
Be 0.000 0.000 2.075
Be 2.075 0.000 0.000
B 0.000 0.000 0.000
```

2.
## ThPaSb2 (PBE-GGA)

Data for a relaxed structure of ThPaSb2.

## Properties
Its density of states at the Fermi level is 22.06 states/eV per cell. The distance to the lowest polymorph of the same formula comes out at 0.000 eV/atom. As for the symmetry: C2/c, No. 15.

Geometry as extended XYZ:
```
16
Lattice="-3.351 -5.715 -3.884 0.877 -2.066 7.346 -6.740 7.273 0.173" Properties=species:S:1:pos:R:3 pbc="T T T"
Th -5.658 3.337 6.299
Th -5.112 -4.031 1.485
Th -4.102 3.523 2.150
Th -3.555 -3.845 -2.664
Pa -5.433 -0.327 3.903
Pa -7.864 1.551 0.706
Pa -1.349 -2.059 2.929
Pa -3.781 -0.181 -0.269
Sb -2.815 0.647 2.553
Sb -2.439 -2.940 0.170
Sb -0.353 -1.138 5.709
Sb -5.249 2.526 -0.643
Sb -3.965 -3.034 4.278
Sb -8.860 0.630 -2.075
Sb -6.774 2.432 3.464
Sb -6.398 -1.155 1.081
```

3.
## Sr8Hg2N (PBE-GGA)

Data for a relaxed structure of Sr8Hg2N.

## Properties
Its density of states at the Fermi level is 9.29 states/eV per cell. The distance to the lowest polymorph of the same formula comes out at 0.000 eV/atom. As for the symmetry: C2/m, No. 12.

Geometry as extended XYZ:
```
11
Lattice="6.852 -0.006 1.724 1.706 7.927 2.254 0.149 0.181 8.413" Properties=species:S:1:pos:R:3 pbc="T T T"
Sr 6.861 7.503 6.057
Sr 2.823 5.462 2.469
Sr 6.975 7.124 10.723
Sr 1.732 0.978 1.668
Sr 5.884 2.641 9.923
Sr 1.846 0.600 6.335
Sr 2.497 4.774 6.635
Sr 6.210 3.329 5.757
Hg 5.354 5.510 8.283
Hg 3.354 2.592 4.108
N 0.000 0.000 0.000
```

4.
## ZnPtRh3 (PBE-GGA)

Data for a relaxed structure of ZnPtRh3.

## Properties
Its density of states at the Fermi level is 6.70 states/eV per cell. The distance to the lowest polymorph of the same formula comes out at 0.000 eV/atom. As for the symmetry: Pm-3m, No. 221.

Geometry as extended XYZ:
```
5
Lattice="4.477 0.000 0.000 0.000 4.477 0.000 0.000 0.000 4.477" Properties=species:S:1:pos:R:3 pbc="T T T"
Zn 0.000 0.000 0.000
Rh 0.000 2.238 0.000
Rh 0.000 0.000 2.238
Rh 2.238 0.000 0.000
Pt 2.238 2.238 2.238
```

5.
## KIrOs2 (PBE-GGA)

Data for a relaxed structure of KIrOs2.

## Properties
Its density of states at the Fermi level is 3.30 states/eV per cell. The distance to the lowest polymorph of the same formula comes out at 0.441 eV/atom. As for the symmetry: Imm2, No. 44.

Geometry as extended XYZ:
```
4
Lattice="-0.446 5.826 1.141 -2.676 3.747 -3.774 0.108 -4.575 3.808" Properties=species:S:1:pos:R:3 pbc="T T T"
Ir -1.671 5.124 -1.409
K -2.062 1.973 -0.640
Os -3.001 9.205 -2.532
Os -0.962 3.056 1.806
```

6.
## Ho3In3Hg2 (PBE-GGA)

Data for a relaxed structure of Ho3In3Hg2.

## Properties
Its density of states at the Fermi level is 4.33 states/eV per cell. The distance to the lowest polymorph of the same formula comes out at 0.044 eV/atom. As for the symmetry: Pmmm, No. 47.

Geometry as extended XYZ:
```
8
Lattice="4.963 0.000 0.000 0.000 5.030 0.000 0.000 0.000 8.121" Properties=species:S:1:pos:R:3 pbc="T T T"
Ho 2.481 0.000 4.060
Ho 0.000 2.515 0.000
Ho 0.000 2.515 4.060
In 2.481 2.515 6.110
In 2.481 2.515 2.011
In 2.481 0.000 0.000
Hg 0.000 0.000 6.055
Hg 0.000 0.000 2.065
```

7.
## CuAs2WSe (PBE-GGA)

Data for a relaxed structure of CuAs2WSe.

## Properties
Its density of states at the Fermi level is 3.67 states/eV per cell. The distance to the lowest polymorph of the same formula comes out at 0.476 eV/atom. As for the symmetry: P4/mmm, No. 123.

Geometry as extended XYZ:
```
5
Lattice="-1.932 2.122 -3.585 -3.417 -3.068 0.026 -2.463 2.768 2.966" Properties=species:S:1:pos:R:3 pbc="T T T"
As -1.709 -1.534 0.013
As -0.966 1.061 -1.792
Cu 0.000 0.000 0.000
Se -1.231 1.384 1.483
W -3.906 0.911 -0.296
```

8.
## MgSbHPd2 (PBE-GGA)

Data for a relaxed structure of MgSbHPd2.

## Properties
Its density of states at the Fermi level is 1.97 states/eV per cell. As for the total DFT energy (no corrections): -21.09 eV/cell. As for the symmetry: P4/mmm, No. 123.

Geometry as extended XYZ:
```
5
Lattice="4.201 0.000 0.000 0.000 4.201 0.000 0.000 0.000 4.160" Properties=species:S:1:pos:R:3 pbc="T T T"
Sb 2.101 2.101 2.080
Mg 0.000 0.000 2.080
Pd 0.000 2.101 0.000
Pd 2.101 0.000 0.000
H 0.000 0.000 0.000
```